[1]
Below is BaAl2As at its PBEsol-relaxed geometry, with properties calculated at the meta-GGA SCAN level.

Unit cell a=4.684 b=4.544 c=5.335 alpha=90.00 beta=100.58 gamma=90.00
Fractional positions:
Ba: 0.000 0.000 0.000
Al: 0.278 0.500 0.626
Al: 0.722 0.500 0.374
As: 0.500 0.000 0.500

## Properties
Energy of formation from the pure elements: -311 meV/atom
Symmetry: P2/m



[2]
Below is BaAl2As at its PBEsol-relaxed geometry, with properties calculated at the meta-GGA SCAN level.

Unit cell a=8.652 b=4.064 c=6.128 alpha=90.00 beta=107.11 gamma=90.00
Fractional positions:
Ba: 0.000 0.000 0.000
Ba: 0.500 0.500 0.000
Al: 0.010 0.500 0.529
Al: 0.230 0.000 0.633
Al: 0.510 0.000 0.529
Al: 0.730 0.500 0.633
As: 0.264 0.500 0.365
As: 0.764 0.000 0.365

## Properties
Energy of formation from the pure elements: -393 meV/atom
Symmetry: Cm



[3]
Below is BaAl2As at its PBEsol-relaxed geometry, with properties calculated at the meta-GGA SCAN level.

Unit cell a=6.259 b=11.312 c=3.302 alpha=90.00 beta=121.11 gamma=90.00
Fractional positions:
Ba: 0.000 0.000 0.000
Ba: 0.500 0.500 0.000
Al: 0.250 0.250 0.500
Al: 0.250 0.750 0.500
Al: 0.750 0.250 0.500
Al: 0.750 0.750 0.500
As: 0.000 0.500 0.000
As: 0.500 0.000 0.000

## Properties
Energy of formation from the pure elements: 134 meV/atom
Symmetry: C2/m



[4]
Below is BaAl2As at its PBEsol-relaxed geometry, with properties calculated at the meta-GGA SCAN level.

Unit cell a=4.393 b=4.393 c=10.387 alpha=90.00 beta=90.00 gamma=90.00
Fractional positions:
Ba: 0.000 0.000 0.000
Ba: 0.500 0.500 0.500
Al: 0.000 0.500 0.250
Al: 0.000 0.500 0.750
Al: 0.500 0.000 0.250
Al: 0.500 0.000 0.750
As: 0.000 0.000 0.500
As: 0.500 0.500 0.000

## Properties
Energy of formation from the pure elements: 70 meV/atom
Symmetry: I4/mmm



[5]
Below is Ba2AlFeAs at its PBEsol-relaxed geometry, with properties calculated at the meta-GGA SCAN level.

Unit cell a=5.825 b=5.825 c=4.409 alpha=90.00 beta=90.00 gamma=90.00
Fractional positions:
Ba: 0.000 0.500 0.000
Ba: 0.500 0.000 0.000
Al: 0.000 0.000 0.500
Fe: 0.500 0.500 0.000
As: 0.500 0.500 0.500

## Properties
Energy of formation from the pure elements: 66 meV/atom
Symmetry: P4/mmm



[6]
Below is RbBaAlAs2 at its PBEsol-relaxed geometry, with properties calculated at the meta-GGA SCAN level.

Unit cell a=5.186 b=5.186 c=5.453 alpha=90.00 beta=90.00 gamma=90.00
Fractional positions:
Rb: 0.000 0.000 0.000
Ba: 0.500 0.500 0.000
Al: 0.000 0.000 0.500
As: 0.000 0.500 0.500
As: 0.500 0.000 0.500

## Properties
Energy of formation from the pure elements: -91 meV/atom
Symmetry: P4/mmm



[7]
Below is BaAlAs2Ru at its PBEsol-relaxed geometry, with properties calculated at the meta-GGA SCAN level.

Unit cell a=5.626 b=5.626 c=5.083 alpha=90.00 beta=90.00 gamma=90.00
Fractional positions:
Ba: 0.000 0.000 0.000
Al: 0.500 0.500 0.500
As: 0.000 0.500 0.000
As: 0.500 0.000 0.000
Ru: 0.000 0.000 0.500

## Properties
Energy of formation from the pure elements: 1900 meV/atom
Symmetry: P4/mmm



[8]
Below is BeNbAlAs2 at its PBEsol-relaxed geometry, with properties calculated at the meta-GGA SCAN level.

Unit cell a=4.785 b=4.785 c=4.073 alpha=90.00 beta=90.00 gamma=90.00
Fractional positions:
Be: 0.000 0.000 0.000
Nb: 0.500 0.500 0.000
Al: 0.000 0.000 0.500
As: 0.000 0.500 0.500
As: 0.500 0.000 0.500

## Properties
Energy of formation from the pure elements: 961 meV/atom
Symmetry: P4/mmm



[9]
Below is BeAlAs2Pt at its PBEsol-relaxed geometry, with properties calculated at the meta-GGA SCAN level.

Unit cell a=4.692 b=4.692 c=4.635 alpha=90.00 beta=90.00 gamma=90.00
Fractional positions:
Be: 0.000 0.000 0.000
Al: 0.500 0.500 0.500
As: 0.000 0.500 0.500
As: 0.500 0.000 0.500
Pt: 0.500 0.500 0.000

## Properties
Energy of formation from the pure elements: 979 meV/atom
Symmetry: P4/mmm



[10]
Below is BeAlAsSe2 at its PBEsol-relaxed geometry, with properties calculated at the meta-GGA SCAN level.

Unit cell a=4.707 b=4.707 c=4.210 alpha=90.00 beta=90.00 gamma=90.00
Fractional positions:
Be: 0.000 0.000 0.000
Al: 0.500 0.500 0.500
As: 0.000 0.000 0.500
Se: 0.000 0.500 0.000
Se: 0.500 0.000 0.000

## Properties
ΔE_f (raw): 403 meV per atom
Symmetry: P4/mmm



[11]
Below is BeAl2TlAs at its PBEsol-relaxed geometry, with properties calculated at the meta-GGA SCAN level.

Unit cell a=5.117 b=5.117 c=4.377 alpha=90.00 beta=90.00 gamma=90.00
Fractional positions:
Be: 0.000 0.000 0.000
Al: 0.000 0.500 0.500
Al: 0.500 0.000 0.500
Tl: 0.000 0.000 0.500
As: 0.500 0.500 0.000

## Properties
Energy of formation from the pure elements: 947 meV/atom
Symmetry: P4/mmm



[12]
Below is Al2BiAs at its PBEsol-relaxed geometry, with properties calculated at the meta-GGA SCAN level.

Unit cell a=6.028 b=6.028 c=11.946 alpha=90.00 beta=90.00 gamma=90.00
Fractional positions:
Al: 0.214 0.250 0.125
Al: 0.250 0.714 0.375
Al: 0.250 0.786 0.875
Al: 0.286 0.250 0.625
Al: 0.714 0.750 0.625
Al: 0.750 0.214 0.875
Al: 0.750 0.286 0.375
Al: 0.786 0.750 0.125
Bi: 0.000 0.000 0.500
Bi: 0.000 0.500 0.750
Bi: 0.500 0.000 0.250
Bi: 0.500 0.500 0.000
As: 0.000 0.000 0.000
As: 0.000 0.500 0.250
As: 0.500 0.000 0.750
As: 0.500 0.500 0.500

## Properties
Energy of formation from the pure elements: -233 meV/atom
Symmetry: I-42d



[13]
Below is Ca2AlBiAs at its PBEsol-relaxed geometry, with properties calculated at the meta-GGA SCAN level.

Unit cell a=5.496 b=5.496 c=4.834 alpha=90.00 beta=90.00 gamma=90.00
Fractional positions:
Ca: 0.000 0.500 0.000
Ca: 0.500 0.000 0.000
Al: 0.000 0.000 0.500
Bi: 0.500 0.500 0.500
As: 0.000 0.000 0.000

## Properties
Energy of formation from the pure elements: -557 meV/atom
Symmetry: P4/mmm



[14]
Below is AlAsBr2 at its PBEsol-relaxed geometry, with properties calculated at the meta-GGA SCAN level.

Unit cell a=3.676 b=3.676 c=7.980 alpha=90.00 beta=90.00 gamma=90.00
Fractional positions:
Al: 0.000 0.000 0.000
As: 0.500 0.500 0.928
Br: 0.000 0.000 0.285
Br: 0.500 0.500 0.635

## Properties
ΔE_f (raw): -463 meV per atom
Energy above the most stable polymorph in this dataset: 0.0 meV/atom
Symmetry: P4mm



[15]
Below is Al2AsBr at its PBEsol-relaxed geometry, with properties calculated at the meta-GGA SCAN level.

Unit cell a=3.539 b=3.539 c=24.743 alpha=90.00 beta=90.00 gamma=120.00
Fractional positions:
Al: 0.000 0.000 0.000
Al: 0.000 0.000 0.255
Al: 0.333 0.667 0.667
Al: 0.333 0.667 0.921
Al: 0.667 0.333 0.333
Al: 0.667 0.333 0.588
As: 0.000 0.000 0.724
As: 0.333 0.667 0.391
As: 0.667 0.333 0.057
Br: 0.000 0.000 0.519
Br: 0.333 0.667 0.186
Br: 0.667 0.333 0.852

## Properties
ΔE_f (raw): -151 meV per atom
Symmetry: R3m



[16]
Below is AlAsBr2 at its PBEsol-relaxed geometry, with properties calculated at the meta-GGA SCAN level.

Unit cell a=7.030 b=7.030 c=7.030 alpha=90.00 beta=90.00 gamma=90.00
Fractional positions:
Al: 0.000 0.000 0.000
Al: 0.000 0.500 0.500
Al: 0.500 0.000 0.500
Al: 0.500 0.500 0.000
As: 0.000 0.000 0.500
As: 0.000 0.500 0.000
As: 0.500 0.000 0.000
As: 0.500 0.500 0.500
Br: 0.250 0.250 0.250
Br: 0.250 0.250 0.750
Br: 0.250 0.750 0.250
Br: 0.250 0.750 0.750
Br: 0.750 0.250 0.250
Br: 0.750 0.250 0.750
Br: 0.750 0.750 0.250
Br: 0.750 0.750 0.750

## Properties
ΔE_f (raw): 495 meV per atom
Energy above the most stable polymorph in this dataset: 958.2 meV/atom
Symmetry: Fm-3m



[17]
Below is AlAsBr2 at its PBEsol-relaxed geometry, with properties calculated at the meta-GGA SCAN level.

Unit cell a=10.234 b=10.234 c=4.818 alpha=90.00 beta=90.00 gamma=90.00
Fractional positions:
Al: 0.000 0.000 0.000
Al: 0.000 0.500 0.250
Al: 0.500 0.000 0.750
Al: 0.500 0.500 0.500
As: 0.000 0.000 0.500
As: 0.000 0.500 0.750
As: 0.500 0.000 0.250
As: 0.500 0.500 0.000
Br: 0.009 0.250 0.125
Br: 0.250 0.509 0.375
Br: 0.250 0.991 0.875
Br: 0.491 0.250 0.625
Br: 0.509 0.750 0.625
Br: 0.750 0.009 0.875
Br: 0.750 0.491 0.375
Br: 0.991 0.750 0.125

## Properties
ΔE_f (raw): -60 meV per atom
Energy above the most stable polymorph in this dataset: 402.9 meV/atom
Symmetry: I-42d



[18]
Below is AlAsBr3 at its PBEsol-relaxed geometry, with properties calculated at the meta-GGA SCAN level.

Unit cell a=5.105 b=5.105 c=5.105 alpha=90.00 beta=90.00 gamma=90.00
Fractional positions:
Al: 0.000 0.000 0.000
As: 0.500 0.500 0.500
Br: 0.000 0.000 0.500
Br: 0.000 0.500 0.000
Br: 0.500 0.000 0.000

## Properties
ΔE_f (raw): -93 meV per atom
Symmetry: Pm-3m



[19]
Below is AlAsBr2 at its PBEsol-relaxed geometry, with properties calculated at the meta-GGA SCAN level.

Unit cell a=3.882 b=6.222 c=8.283 alpha=90.00 beta=90.00 gamma=90.00
Fractional positions:
Al: 0.000 0.000 0.000
Al: 0.500 0.500 0.000
As: 0.000 0.500 0.816
As: 0.500 0.000 0.816
Br: 0.000 0.000 0.588
Br: 0.000 0.500 0.214
Br: 0.500 0.000 0.214
Br: 0.500 0.500 0.588

## Properties
ΔE_f (raw): -68 meV per atom
Energy above the most stable polymorph in this dataset: 395.7 meV/atom
Symmetry: Cmm2



[20]
Below is AlAsBr2 at its PBEsol-relaxed geometry, with properties calculated at the meta-GGA SCAN level.

Unit cell a=5.236 b=3.880 c=5.468 alpha=90.00 beta=105.12 gamma=90.00
Fractional positions:
Al: 0.000 0.000 0.000
As: 0.239 0.500 0.233
Br: 0.556 0.500 0.967
Br: 0.883 0.000 0.558

## Properties
ΔE_f (raw): -452 meV per atom
Energy above the most stable polymorph in this dataset: 11.3 meV/atom
Symmetry: Pm



[21]
Below is AlAsBr2 at its PBEsol-relaxed geometry, with properties calculated at the meta-GGA SCAN level.

Unit cell a=5.025 b=5.025 c=3.495 alpha=90.00 beta=90.00 gamma=90.00
Fractional positions:
Al: 0.000 0.000 0.000
As: 0.500 0.500 0.000
Br: 0.000 0.500 0.500
Br: 0.500 0.000 0.500

## Properties
ΔE_f (raw): 416 meV per atom
Energy above the most stable polymorph in this dataset: 879.4 meV/atom
Symmetry: P4/mmm



[22]
Below is AlAsBr at its PBEsol-relaxed geometry, with properties calculated at the meta-GGA SCAN level.

Unit cell a=6.628 b=6.628 c=6.628 alpha=90.00 beta=90.00 gamma=90.00
Fractional positions:
Al: 0.000 0.000 0.000
Al: 0.000 0.500 0.500
Al: 0.500 0.000 0.500
Al: 0.500 0.500 0.000
As: 0.000 0.000 0.500
As: 0.000 0.500 0.000
As: 0.500 0.000 0.000
As: 0.500 0.500 0.500
Br: 0.250 0.250 0.250
Br: 0.250 0.750 0.750
Br: 0.750 0.250 0.750
Br: 0.750 0.750 0.250

## Properties
ΔE_f (raw): 979 meV per atom
Symmetry: F-43m



[23]
Below is AlAsCBr2 at its PBEsol-relaxed geometry, with properties calculated at the meta-GGA SCAN level.

Unit cell a=4.870 b=4.870 c=5.008 alpha=90.00 beta=90.00 gamma=90.00
Fractional positions:
Al: 0.000 0.000 0.000
As: 0.000 0.000 0.500
C: 0.500 0.500 0.500
Br: 0.000 0.500 0.000
Br: 0.500 0.000 0.000

## Properties
ΔE_f (raw): 1249 meV per atom
Symmetry: P4/mmm



[24]
Below is AlCrAs2Br at its PBEsol-relaxed geometry, with properties calculated at the meta-GGA SCAN level.

Unit cell a=4.566 b=4.566 c=5.303 alpha=90.00 beta=90.00 gamma=90.00
Fractional positions:
Al: 0.000 0.000 0.000
Cr: 0.500 0.500 0.500
As: 0.000 0.500 0.500
As: 0.500 0.000 0.500
Br: 0.500 0.500 0.000

## Properties
ΔE_f (raw): 296 meV per atom
Symmetry: P4/mmm



[25]
Below is AlAsHBr2 at its PBEsol-relaxed geometry, with properties calculated at the meta-GGA SCAN level.

Unit cell a=5.122 b=5.122 c=4.905 alpha=90.00 beta=90.00 gamma=90.00
Fractional positions:
Al: 0.000 0.000 0.000
As: 0.000 0.000 0.500
H: 0.500 0.500 0.500
Br: 0.000 0.500 0.000
Br: 0.500 0.000 0.000

## Properties
Symmetry: P4/mmm



[26]
Below is MnAlAsBr2 at its PBEsol-relaxed geometry, with properties calculated at the meta-GGA SCAN level.

Unit cell a=4.880 b=4.880 c=5.104 alpha=90.00 beta=90.00 gamma=90.00
Fractional positions:
Mn: 0.000 0.000 0.000
Al: 0.500 0.500 0.500
As: 0.500 0.500 0.000
Br: 0.000 0.500 0.500
Br: 0.500 0.000 0.500

## Properties
ΔE_f (raw): -24 meV per atom
Symmetry: P4/mmm



[27]
Below is AlMoAsBr2 at its PBEsol-relaxed geometry, with properties calculated at the meta-GGA SCAN level.

Unit cell a=5.176 b=5.176 c=4.813 alpha=90.00 beta=90.00 gamma=90.00
Fractional positions:
Al: 0.000 0.000 0.000
Mo: 0.500 0.500 0.500
As: 0.500 0.500 0.000
Br: 0.000 0.500 0.500
Br: 0.500 0.000 0.500

## Properties
ΔE_f (raw): 299 meV per atom
Symmetry: P4/mmm



[28]
Below is AlAsBr2N at its PBEsol-relaxed geometry, with properties calculated at the meta-GGA SCAN level.

Unit cell a=4.988 b=4.988 c=5.071 alpha=90.00 beta=90.00 gamma=90.00
Fractional positions:
Al: 0.000 0.000 0.000
As: 0.000 0.000 0.500
Br: 0.000 0.500 0.000
Br: 0.500 0.000 0.000
N: 0.500 0.500 0.500

## Properties
ΔE_f (raw): 738 meV per atom
Symmetry: P4/mmm



[29]
Below is NaAlAsBr2 at its PBEsol-relaxed geometry, with properties calculated at the meta-GGA SCAN level.

Unit cell a=5.274 b=5.274 c=4.817 alpha=90.00 beta=90.00 gamma=90.00
Fractional positions:
Na: 0.000 0.000 0.000
Al: 0.500 0.500 0.500
As: 0.500 0.500 0.000
Br: 0.000 0.500 0.500
Br: 0.500 0.000 0.500

## Properties
ΔE_f (raw): -531 meV per atom
Symmetry: P4/mmm



Number 1: total energy -76.49 eV/cell. Number 2: total energy -153.63 eV/cell. Number 3: total energy -149.41 eV/cell. Number 4: total energy -149.93 eV/cell. Number 5: total energy -124.84 eV/cell. Number 6: total energy -108.88 eV/cell. Number 7: total energy -113.01 eV/cell. Number 8: total energy -80.81 eV/cell. Number 9: total energy -117.78 eV/cell. Number 10: total energy -70.44 eV/cell. Number 11: total energy -107.67 eV/cell. Number 12: total energy -460.82 eV/cell. Number 13: total energy -128.64 eV/cell. Number 14: total energy -68.71 eV/cell. Number 15: total energy -167.27 eV/cell. Number 16: total energy -259.53 eV/cell. Number 17: total energy -268.41 eV/cell. Number 18: total energy -86.79 eV/cell. Number 19: total energy -134.26 eV/cell. Number 20: total energy -68.67 eV/cell. Number 21: total energy -65.20 eV/cell. Number 22: total energy -177.86 eV/cell. Number 23: total energy -70.72 eV/cell. Number 24: total energy -84.50 eV/cell. Number 25: total energy -68.86 eV/cell. Number 26: total energy -85.23 eV/cell. Number 27: total energy -100.25 eV/cell. Number 28: total energy -72.46 eV/cell. Number 29: total energy -73.73 eV/cell.